# 1
Below is crystalline Ba2LiRh at its relaxed geometry, with properties calculated at the PBE level.

DFT formation energy: 0.171 eV/atom
DFT total energy: -12.43 eV for the cell shown
magnetization: 0.00 μB/f.u.
space group: F-43m, No. 216

POSCAR file:
```
Ba2LiRh
1.0
-3.3841 -2.8258 -3.1482
1.9521 -3.7195 -3.4210
-0.8329 -5.2661 0.9609
Li Ba Rh
1 2 1
Cartesian
-1.1325 -5.9057 -2.8041 Li
0.0000 0.0000 0.0000 Ba
-0.5662 -2.9528 -1.4021 Ba
-1.6987 -8.8585 -4.2062 Rh
```


# 2
Below is crystalline V4Ga2H at its relaxed geometry, with properties calculated at the PBE level.

DFT total energy: -92.50 eV for the cell shown
energy above the lowest structure with this stoichiometry: 0.0858 eV/atom
magnetization: 0.00 μB/f.u.
space group: Pbam, No. 55

POSCAR file:
```
V4Ga2H
1.0
-1.2574 -2.2473 0.9181
0.7125 -2.9933 -6.3511
8.0707 -3.4765 2.5438
Ga V H
4 8 2
Cartesian
7.0600 -6.9480 -3.2672 Ga
0.4658 -1.7692 0.3780 Ga
4.7650 -4.6162 -0.7027 Ga
2.7607 -4.1009 -2.1864 Ga
0.5865 -3.5100 -3.7178 V
5.5469 -2.7229 0.9319 V
3.2363 -3.7469 -4.7391 V
4.7025 -5.5868 -3.1642 V
7.0923 -4.7318 -1.8688 V
2.8233 -3.1303 0.2751 V
1.6908 -1.7380 -1.9384 V
6.9393 -5.2071 0.8286 V
0.3562 -1.4966 -3.1755 H
4.0354 -1.7383 1.2719 H
```


# 3
Below is crystalline LuAsH at its relaxed geometry, with properties calculated at the PBE level.

DFT total energy: -14.82 eV for the cell shown
energy above the lowest structure with this stoichiometry: 0.0000 eV/atom
magnetization: 0.00 μB/f.u.
space group: P-6m2, No. 187

POSCAR file:
```
LuAsH
1.0
-2.6789 0.4127 3.2221
-0.1718 -3.5670 0.3141
2.4765 1.8427 1.8229
Lu As H
1 1 1
Cartesian
0.2640 -1.6949 1.3547 Lu
-0.1927 0.3147 3.4686 As
-0.4455 0.0686 0.5358 H
```


# 4
Below is crystalline RhS6F2 at its relaxed geometry, with properties calculated at the PBE level.

DFT total energy: -37.30 eV for the cell shown
raw formation energy: -159.9 meV/atom
magnetization: 0.29 μB/f.u.
space group: C2/m, No. 12

POSCAR file:
```
RhS6F2
1.0
-2.8600 0.2323 -1.5349
4.5467 -1.0672 -8.6332
-5.0082 -4.4277 12.1110
S F Rh
6 2 1
Cartesian
-0.2126 -1.7588 0.1301 S
-3.1088 -3.5039 1.8128 S
-2.1165 -0.9554 0.3495 S
-1.2049 -4.3072 1.5934 S
-3.3129 -2.9459 5.7270 S
-0.0085 -2.3167 -3.7841 S
-6.0433 -3.9355 7.2153 F
2.7219 -1.3272 -5.2724 F
0.8434 -0.4175 -5.0841 Rh
```


# 5
Below is crystalline LiCa2WN4 at its relaxed geometry, with properties calculated at the PBE level.

DFT total energy: -116.17 eV for the cell shown
raw formation energy: -739.2 meV/atom
magnetization: 1.04 μB/f.u.
space group: Pmn2_1, No. 31

POSCAR file:
```
LiCa2WN4
1.0
-0.4435 4.5857 -2.5092
-2.6351 -2.9799 -4.9803
-6.9845 1.0144 3.0885
Ca W N Li
4 2 8 2
Cartesian
-7.5119 3.1380 -3.5102 Ca
-2.8105 1.4545 -1.9337 Ca
-6.2333 1.9516 -0.4202 Ca
-3.9501 2.6207 -5.0852 Ca
-0.8798 4.0894 -3.3328 W
-5.9123 0.3111 -3.8641 W
-6.9513 0.6387 -2.3000 N
-4.0282 0.2142 -3.5927 N
-6.7621 4.1226 -1.4506 N
-0.5419 1.1732 -1.6108 N
-2.7007 3.5327 -3.2466 N
-2.7264 1.3796 -6.6187 N
-3.9573 1.9005 0.0349 N
-6.1187 1.8668 -4.8417 N
-2.4607 -0.3000 -5.4662 Li
-4.3213 4.5961 -1.6735 Li
```


# 6
Below is crystalline Ac2NdAu6 at its relaxed geometry, with properties calculated at the PBE level.

DFT formation energy: -0.793 eV/atom
DFT total energy: -39.78 eV for the cell shown
energy above the lowest structure with this stoichiometry: 0.0000 eV/atom
magnetization: 0.00 μB/f.u.
space group: P6/mmm, No. 191

POSCAR file:
```
Ac2NdAu6
1.0
-0.5949 -0.2761 3.7555
-7.5990 -3.1707 -1.4369
6.5946 -5.0917 0.6704
Au Ac Nd
6 2 1
Cartesian
-0.9693 -5.6646 1.3651 Au
-2.8136 -1.1879 1.4020 Au
1.8861 -1.8239 2.0997 Au
1.2143 -7.3505 1.5870 Au
-0.6300 -2.8738 1.6240 Au
4.1136 -3.5438 2.3262 Au
-3.4627 -4.0871 3.0211 Ac
1.8634 -4.4513 -0.0320 Ac
6.5946 -5.0917 0.6704 Nd
```


# 7
Below is crystalline Tl2SnBiI6 at its relaxed geometry, with properties calculated at the PBE level.

DFT total energy: -26.43 eV for the cell shown
raw formation energy: -450.9 meV/atom
magnetization: 0.00 μB/f.u.
space group: P1, No. 1

POSCAR file:
```
Tl2SnBiI6
1.0
8.6417 0.2875 -0.2271
4.5731 7.4067 -0.2587
4.2011 2.4164 7.2762
I Tl Bi Sn
6 2 1 1
Cartesian
6.9280 8.0373 1.8225 I
12.0424 5.2944 1.4325 I
10.5769 6.8856 5.2824 I
9.5632 2.6853 5.3996 I
6.9617 2.2236 1.7309 I
6.1112 5.1840 5.3845 I
4.3570 2.3547 6.7936 Tl
8.7204 5.1900 2.8940 Tl
4.3644 2.5151 0.0344 Bi
13.0458 7.6163 3.4522 Sn
```


# 8
Below is crystalline AcLuCdIr at its relaxed geometry, with properties calculated at the PBE level.

DFT formation energy: -0.365 eV/atom
DFT total energy: -19.87 eV for the cell shown
magnetization: 0.00 μB/f.u.
space group: F-43m, No. 216

POSCAR file:
```
AcLuCdIr
1.0
-4.7065 -1.6042 1.6181
-0.9523 -5.1042 0.6188
-0.5760 -1.9889 4.8016
Ir Ac Cd Lu
1 1 1 1
Cartesian
-1.5587 -2.1743 1.7596 Ir
-3.1174 -4.3487 3.5193 Ac
-4.6761 -6.5230 5.2789 Cd
0.0000 0.0000 0.0000 Lu
```


# 9
Below is crystalline DyBiPtAu at its relaxed geometry, with properties calculated at the PBE level.

DFT formation energy: -0.659 eV/atom
DFT total energy: -20.44 eV for the cell shown
magnetization: 0.00 μB/f.u.
space group: F-43m, No. 216

POSCAR file:
```
DyBiPtAu
1.0
-0.6610 2.7479 -4.1311
-4.5693 0.4703 -1.9884
-2.4067 4.3807 0.2667
Dy Pt Au Bi
1 1 1 1
Cartesian
0.0000 0.0000 0.0000 Dy
-1.9093 1.8997 -1.4632 Pt
-5.7278 5.6992 -4.3896 Au
-3.8185 3.7994 -2.9264 Bi
```


# 10
Below is crystalline DyUB2O8 at its relaxed geometry, with properties calculated at the PBE level.

DFT total energy: -99.67 eV for the cell shown
raw formation energy: -2562.9 meV/atom
magnetization: 1.07 μB/f.u.
space group: I-4, No. 82

POSCAR file:
```
DyUB2O8
1.0
4.6441 0.0000 0.0000
0.0000 4.6441 0.0000
-2.3221 -2.3221 5.4945
O B U Dy
8 2 1 1
Cartesian
-1.1187 2.8806 3.5590 O
1.1187 1.7636 3.5590 O
0.5585 3.4407 1.9355 O
2.9746 3.4579 0.7211 O
1.1358 -0.6525 4.7735 O
-1.1358 0.6525 4.7735 O
1.6695 1.1862 0.7211 O
-0.5585 1.2034 1.9355 O
0.0000 2.3221 2.7473 B
2.3221 2.3221 0.0000 B
0.0000 0.0000 0.0000 U
2.3221 0.0000 2.7473 Dy
```


# 11
Below is crystalline MnGaFeSi at its relaxed geometry, with properties calculated at the PBE level.

DFT total energy: -26.74 eV for the cell shown
raw formation energy: -164.6 meV/atom
magnetization: 1.58 μB/f.u.
space group: F-43m, No. 216

POSCAR file:
```
MnGaFeSi
1.0
-2.1286 -2.2854 2.5436
1.7982 -2.9985 1.9999
0.6053 0.3058 3.9704
Fe Si Ga Mn
1 1 1 1
Cartesian
0.0000 0.0000 0.0000 Fe
0.2061 -3.7336 6.3855 Si
0.0687 -1.2445 2.1285 Ga
0.1374 -2.4891 4.2570 Mn
```


# 12
Below is crystalline SrZrAlBr2 at its relaxed geometry, with properties calculated at the PBE level.

DFT total energy: -16.89 eV for the cell shown
raw formation energy: 85.9 meV/atom
magnetization: 2.94 μB/f.u.
space group: P4/mmm, No. 123

POSCAR file:
```
SrZrAlBr2
1.0
-2.6341 -3.6961 3.0127
4.5239 -3.3094 -0.1048
1.8475 2.3819 4.5375
Zr Al Br Sr
1 1 2 1
Cartesian
2.2619 -1.6547 -0.0524 Zr
0.0000 0.0000 0.0000 Al
-1.3171 -1.8480 1.5063 Br
0.9238 1.1909 2.2688 Br
1.8686 -2.3118 3.7227 Sr
```


Question: Among the records above, which one has the highest magnetization?
Answer: SrZrAlBr2


Please write out number 10 again, unchanged.
Below is crystalline DyUB2O8 at its relaxed geometry, with properties calculated at the PBE level.

DFT total energy: -99.67 eV for the cell shown
raw formation energy: -2562.9 meV/atom
magnetization: 1.07 μB/f.u.
space group: I-4, No. 82

POSCAR file:
```
DyUB2O8
1.0
4.6441 0.0000 0.0000
0.0000 4.6441 0.0000
-2.3221 -2.3221 5.4945
O B U Dy
8 2 1 1
Cartesian
-1.1187 2.8806 3.5590 O
1.1187 1.7636 3.5590 O
0.5585 3.4407 1.9355 O
2.9746 3.4579 0.7211 O
1.1358 -0.6525 4.7735 O
-1.1358 0.6525 4.7735 O
1.6695 1.1862 0.7211 O
-0.5585 1.2034 1.9355 O
0.0000 2.3221 2.7473 B
2.3221 2.3221 0.0000 B
0.0000 0.0000 0.0000 U
2.3221 0.0000 2.7473 Dy
```